# MgCu2Tc2 | Alexandria | PBE-GGA | optimized geometry
data_MgCu2Tc2
_cell_length_a 7.472
_cell_length_b 7.472
_cell_length_c 2.765
_cell_angle_alpha 90.00
_cell_angle_beta 90.00
_cell_angle_gamma 90.00
_symmetry_space_group_name_H-M 'P 1'
_symmetry_Int_Tables_number 1
loop_
_symmetry_equiv_pos_as_xyz
'x,y,z'
loop_
_atom_site_label
_atom_site_type_symbol
_atom_site_fract_x
_atom_site_fract_y
_atom_site_fract_z
Cu1 Cu 0.315 0.185 0.500
Cu2 Cu 0.685 0.815 0.500
Cu3 Cu 0.185 0.685 0.500
Cu4 Cu 0.815 0.315 0.500
Tc1 Tc 0.391 0.891 0.000
Tc2 Tc 0.891 0.609 0.000
Tc3 Tc 0.609 0.109 0.000
Tc4 Tc 0.109 0.391 0.000
Mg1 Mg 0.500 0.500 0.000
Mg2 Mg 0.000 0.000 0.000
# total moment = 0.00 Bohr magnetons per cell
# energy above the lowest structure with this stoichiometry = 0 meV per atom
# E_form = 0.40 eV per atom

# Sr4Ca3Pd2 | Alexandria | PBE-GGA | optimized geometry
data_Sr4Ca3Pd2
_cell_length_a 4.205
_cell_length_b 9.836
_cell_length_c 9.402
_cell_angle_alpha 114.63
_cell_angle_beta 102.92
_cell_angle_gamma 90.00
_symmetry_space_group_name_H-M 'P 1'
_symmetry_Int_Tables_number 1
loop_
_symmetry_equiv_pos_as_xyz
'x,y,z'
loop_
_atom_site_label
_atom_site_type_symbol
_atom_site_fract_x
_atom_site_fract_y
_atom_site_fract_z
Ca1 Ca 0.075 0.207 0.150
Ca2 Ca 0.925 0.793 0.850
Ca3 Ca 0.000 0.500 0.000
Sr1 Sr 0.771 0.356 0.542
Sr2 Sr 0.374 0.122 0.749
Sr3 Sr 0.626 0.878 0.251
Sr4 Sr 0.229 0.644 0.458
Pd1 Pd 0.395 0.566 0.790
Pd2 Pd 0.605 0.434 0.210
# total moment = 0.00 Bohr magnetons per cell
# E_form = -0.34 eV per atom

# Rb2CeAgI6 | Alexandria | PBE-GGA | optimized geometry
data_Rb2CeAgI6
_cell_length_a 8.425
_cell_length_b 8.791
_cell_length_c 11.952
_cell_angle_alpha 90.00
_cell_angle_beta 89.66
_cell_angle_gamma 90.00
_symmetry_space_group_name_H-M 'P 1'
_symmetry_Int_Tables_number 1
loop_
_symmetry_equiv_pos_as_xyz
'x,y,z'
loop_
_atom_site_label
_atom_site_type_symbol
_atom_site_fract_x
_atom_site_fract_y
_atom_site_fract_z
Rb1 Rb 0.524 0.575 0.752
Rb2 Rb 0.976 0.075 0.748
Rb3 Rb 0.024 0.925 0.252
Rb4 Rb 0.476 0.425 0.248
I1 I 0.590 0.014 0.244
I2 I 0.302 0.701 0.457
I3 I 0.802 0.799 0.957
I4 I 0.698 0.298 0.954
I5 I 0.198 0.202 0.454
I6 I 0.910 0.514 0.256
I7 I 0.698 0.299 0.543
I8 I 0.090 0.486 0.744
I9 I 0.410 0.986 0.756
I10 I 0.802 0.798 0.546
I11 I 0.198 0.201 0.043
I12 I 0.302 0.702 0.046
Ag1 Ag 0.500 0.000 0.000
Ag2 Ag 0.000 0.500 0.500
Ce1 Ce 0.500 0.000 0.500
Ce2 Ce 0.000 0.500 0.000
# uncorrected formation energy = -1.18 eV/atom
# total moment = 2.00 Bohr magnetons per cell
# energy above the lowest structure with this stoichiometry = 0 meV per atom

# ErTmIn6 | Alexandria | PBE-GGA | optimized geometry
data_ErTmIn6
_cell_length_a 4.618
_cell_length_b 4.618
_cell_length_c 9.233
_cell_angle_alpha 90.00
_cell_angle_beta 90.00
_cell_angle_gamma 90.00
_symmetry_space_group_name_H-M 'P 1'
_symmetry_Int_Tables_number 1
loop_
_symmetry_equiv_pos_as_xyz
'x,y,z'
loop_
_atom_site_label
_atom_site_type_symbol
_atom_site_fract_x
_atom_site_fract_y
_atom_site_fract_z
In1 In 0.000 0.500 0.250
In2 In 0.000 0.500 0.750
In3 In 0.500 0.500 0.500
In4 In 0.500 0.000 0.750
In5 In 0.500 0.500 0.000
In6 In 0.500 0.000 0.250
Er1 Er 0.000 0.000 0.500
Tm1 Tm 0.000 0.000 0.000
# total moment = 0.00 Bohr magnetons per cell
# E_form = -0.37 eV per atom

# MgCdAg2 | Alexandria | PBE-GGA | optimized geometry
data_MgCdAg2
_cell_length_a 9.781
_cell_length_b 9.781
_cell_length_c 9.781
_cell_angle_alpha 17.84
_cell_angle_beta 17.84
_cell_angle_gamma 17.84
_symmetry_space_group_name_H-M 'P 1'
_symmetry_Int_Tables_number 1
loop_
_symmetry_equiv_pos_as_xyz
'x,y,z'
loop_
_atom_site_label
_atom_site_type_symbol
_atom_site_fract_x
_atom_site_fract_y
_atom_site_fract_z
Cd1 Cd 0.250 0.250 0.250
Ag1 Ag 0.003 0.003 0.003
Ag2 Ag 0.497 0.497 0.497
Mg1 Mg 0.750 0.750 0.750
# total moment = 0.00 Bohr magnetons per cell
# E_form = -0.09 eV per atom

# Cd4NiIr | Alexandria | PBE-GGA | optimized geometry
data_Cd4NiIr
_cell_length_a 5.434
_cell_length_b 5.434
_cell_length_c 5.434
_cell_angle_alpha 60.00
_cell_angle_beta 60.00
_cell_angle_gamma 60.00
_symmetry_space_group_name_H-M 'P 1'
_symmetry_Int_Tables_number 1
loop_
_symmetry_equiv_pos_as_xyz
'x,y,z'
loop_
_atom_site_label
_atom_site_type_symbol
_atom_site_fract_x
_atom_site_fract_y
_atom_site_fract_z
Ir1 Ir 0.750 0.750 0.750
Cd1 Cd 0.375 0.375 0.375
Cd2 Cd 0.375 0.875 0.375
Cd3 Cd 0.875 0.375 0.375
Cd4 Cd 0.375 0.375 0.875
Ni1 Ni 0.000 0.000 0.000
# total moment = 0.00 Bohr magnetons per cell
# E_form = 0.57 eV per atom

# Pr2SmZr | Alexandria | PBE-GGA | optimized geometry
data_Pr2SmZr
_cell_length_a 4.113
_cell_length_b 4.113
_cell_length_c 7.445
_cell_angle_alpha 90.00
_cell_angle_beta 90.00
_cell_angle_gamma 90.00
_symmetry_space_group_name_H-M 'P 1'
_symmetry_Int_Tables_number 1
loop_
_symmetry_equiv_pos_as_xyz
'x,y,z'
loop_
_atom_site_label
_atom_site_type_symbol
_atom_site_fract_x
_atom_site_fract_y
_atom_site_fract_z
Zr1 Zr 0.500 0.500 0.000
Sm1 Sm 0.500 0.500 0.500
Pr1 Pr 0.000 0.000 0.223
Pr2 Pr 0.000 0.000 0.777
# total moment = 0.00 Bohr magnetons per cell
# energy above the lowest structure with this stoichiometry = 45 meV per atom
# E_form = 0.18 eV per atom

# ZrTi3In | Alexandria | PBE-GGA | optimized geometry
data_ZrTi3In
_cell_length_a 4.984
_cell_length_b 4.984
_cell_length_c 4.984
_cell_angle_alpha 90.00
_cell_angle_beta 90.00
_cell_angle_gamma 90.00
_symmetry_space_group_name_H-M 'P 1'
_symmetry_Int_Tables_number 1
loop_
_symmetry_equiv_pos_as_xyz
'x,y,z'
loop_
_atom_site_label
_atom_site_type_symbol
_atom_site_fract_x
_atom_site_fract_y
_atom_site_fract_z
Ti1 Ti 0.500 0.000 0.000
Ti2 Ti 0.000 0.000 0.500
Ti3 Ti 0.000 0.500 0.000
Zr1 Zr 0.500 0.500 0.500
In1 In 0.000 0.000 0.000
# total moment = 3.11 Bohr magnetons per cell
# energy above the lowest structure with this stoichiometry = 906 meV per atom
# E_form = 1.14 eV per atom

# YC | Alexandria | PBE-GGA | optimized geometry
data_YC
_cell_length_a 3.676
_cell_length_b 3.676
_cell_length_c 5.622
_cell_angle_alpha 90.00
_cell_angle_beta 90.00
_cell_angle_gamma 120.00
_symmetry_space_group_name_H-M 'P 1'
_symmetry_Int_Tables_number 1
loop_
_symmetry_equiv_pos_as_xyz
'x,y,z'
loop_
_atom_site_label
_atom_site_type_symbol
_atom_site_fract_x
_atom_site_fract_y
_atom_site_fract_z
C1 C 0.000 0.000 0.500
C2 C 0.000 0.000 0.000
Y1 Y 0.667 0.333 0.750
Y2 Y 0.333 0.667 0.250
# total moment = 0.00 Bohr magnetons per cell
# energy above the lowest structure with this stoichiometry = 233 meV per atom
# E_form = 0.02 eV per atom

# MgSb2TeRu | Alexandria | PBE-GGA | optimized geometry
data_MgSb2TeRu
_cell_length_a 4.979
_cell_length_b 4.979
_cell_length_c 5.883
_cell_angle_alpha 90.00
_cell_angle_beta 90.00
_cell_angle_gamma 90.00
_symmetry_space_group_name_H-M 'P 1'
_symmetry_Int_Tables_number 1
loop_
_symmetry_equiv_pos_as_xyz
'x,y,z'
loop_
_atom_site_label
_atom_site_type_symbol
_atom_site_fract_x
_atom_site_fract_y
_atom_site_fract_z
Sb1 Sb 0.500 0.000 0.000
Sb2 Sb 0.000 0.500 0.000
Ru1 Ru 0.000 0.000 0.000
Te1 Te 0.000 0.000 0.500
Mg1 Mg 0.500 0.500 0.500
# uncorrected formation energy = 0.29 eV/atom
# total moment = 0.00 Bohr magnetons per cell
# energy above the lowest structure with this stoichiometry = 0 meV per atom

Look up the total moment of the fifth one. 0.00 Bohr magnetons per cell

Which value of total moment does entry 10 give? 0.00 Bohr magnetons per cell